The following is a DFT calculation (PBE+U) of crystalline K4Ni3F10 at its relaxed geometry.

Geometry as POSCAR:
```
K4Ni3F10
1.0
4.030 0.000 -0.547
-0.074 4.030 -0.547
-0.016 -0.016 14.996
K Ni F
4 3 10
direct
0.569 0.569 0.137 K
0.431 0.431 0.863 K
0.297 0.297 0.594 K
0.703 0.703 0.406 K
0.139 0.139 0.278 Ni
0.861 0.861 0.722 Ni
0.000 0.000 0.000 Ni
0.138 0.638 0.276 F
0.069 0.069 0.138 F
0.638 0.138 0.276 F
0.862 0.362 0.724 F
0.362 0.862 0.724 F
0.931 0.931 0.862 F
0.207 0.207 0.415 F
0.793 0.793 0.585 F
0.000 0.500 0.000 F
0.500 0.000 0.000 F
```

N(E_F): 0.00 states/eV/atom
E: -4.325 eV per atom
crystal system: tetragonal
total magnetic moment: 6.00 μB per formula unit